# 1
TlHg after structural relaxation, computed with PBE.

Results
Energy relative to the elements ... 0.01 eV/atom
D(E_F) ... 0.642 states/eV per atom

```
data_TlHg
_chemical_formula_sum 'Tl2 Hg2'
_space_group_name_H-M_alt 'I m m m'
_space_group_IT_number 71
_space_group_name_Hall '-I 2 2'
_cell_length_a 3.3480
_cell_length_b 5.8390
_cell_length_c 6.3472
_cell_angle_alpha 90.00
_cell_angle_beta 90.00
_cell_angle_gamma 90.00
loop_
_atom_site_label
_atom_site_fract_x
_atom_site_fract_y
_atom_site_fract_z
Tl1 0.0000 0.0000 0.0000
Hg1 0.0000 0.0000 0.5000
```


# 2
TlHg13 after structural relaxation, computed with PBE.

Results
Energy relative to the elements ... 0.06 eV/atom
D(E_F) ... 0.320 states/eV per atom

```
data_TlHg13
_chemical_formula_sum 'Tl8 Hg104'
_space_group_name_H-M_alt 'F m -3 c'
_space_group_IT_number 226
_space_group_name_Hall '-F 4a 2 3'
_cell_length_a 15.0770
_cell_length_b 15.0770
_cell_length_c 15.0770
_cell_angle_alpha 90.00
_cell_angle_beta 90.00
_cell_angle_gamma 90.00
loop_
_atom_site_label
_atom_site_fract_x
_atom_site_fract_y
_atom_site_fract_z
Tl1 0.2500 0.2500 0.2500
Hg1 0.0000 0.0000 0.0000
Hg2 0.0000 0.1235 0.1799
```


# 3
TlHg4 after structural relaxation, computed with PBE.

Results
Excess energy over the best structure of this formula in the dataset ... 128 meV/atom
Energy relative to the elements ... 0.11 eV/atom
D(E_F) ... 0.111 states/eV per atom

```
data_TlHg4
_chemical_formula_sum 'Tl1 Hg4'
_space_group_name_H-M_alt 'P m -3 m'
_space_group_IT_number 221
_space_group_name_Hall '-P 4 2 3'
_cell_length_a 5.9877
_cell_length_b 5.9877
_cell_length_c 5.9877
_cell_angle_alpha 90.00
_cell_angle_beta 90.00
_cell_angle_gamma 90.00
loop_
_atom_site_label
_atom_site_fract_x
_atom_site_fract_y
_atom_site_fract_z
Tl1 0.0000 0.0000 0.0000
Hg1 0.0000 0.0000 0.5000
Hg2 0.5000 0.5000 0.5000
```


The highest D(E_F) belongs to which entry? TlHg


Among the records above, which one has the highest energy relative to the elements? TlHg4